Density functional theory data (GGA-PBE) for a relaxed BaPmIn crystal.

The structure in CIF format:
```
data_BaPmIn
_chemical_formula_sum 'Ba2 Pm2 In2'
_cell_length_a 5.2960
_cell_length_b 5.2960
_cell_length_c 8.4662
_cell_angle_alpha 90.00
_cell_angle_beta 90.00
_cell_angle_gamma 90.00
_space_group_name_H-M_alt 'P 4/n m m'
_space_group_IT_number 129
loop_
_space_group_symop_operation_xyz
'x,y,z'
'-x,-y,-z'
'-y+1/2,x,z'
'y+1/2,-x,-z'
'-x+1/2,-y+1/2,z'
'x+1/2,y+1/2,-z'
'y,-x+1/2,z'
'-y,x+1/2,-z'
'x+1/2,-y,-z'
'-x+1/2,y,z'
'-y,-x,-z'
'y,x,z'
'-x,y+1/2,-z'
'x,-y+1/2,z'
'y+1/2,x+1/2,-z'
'-y+1/2,-x+1/2,z'
loop_
_atom_site_label
_atom_site_type_symbol
_atom_site_fract_x
_atom_site_fract_y
_atom_site_fract_z
_atom_site_occupancy
Ba1 Ba 0.2500 0.2500 0.1407 1
Pm1 Pm 0.2500 0.7500 0.5000 1
In1 In 0.2500 0.2500 0.7230 1
```

Results
The calculation puts the size of the total moment at 0.00 μB per formula unit. For the density, the calculation gives 5.6 g/cm³. The value obtained for the formation energy is -0.315 eV/atom. For the calculated total energy, the calculation gives -20.71 eV for the cell shown.